{
  "formula": "Mn2GaBSe",
  "functional": "PBE",
  "state": "optimized geometry",
  "polymorph_energy_ev_per_atom": 0.008,
  "rho_g_cm3": 6.69,
  "cell": [[3.131, 0.022, -0.001], [1.546, 2.723, 0.008], [1.561, 0.888, 7.880]],
  "species": ["B", "Mn", "Mn", "Ga", "Se"],
  "fractional_positions": [[0.152, 0.251, 0.756], [0.531, 0.631, 0.617], [0.777, 0.876, 0.880], [0.366, 0.465, 0.114], [0.935, 0.034, 0.407]]
}

{
  "formula": "SbOsRh",
  "functional": "PBE",
  "state": "optimized geometry",
  "polymorph_energy_ev_per_atom": 0.000,
  "rho_g_cm3": 11.95,
  "cell": [[0.000, 3.066, 3.066], [3.066, 0.000, 3.066], [3.066, 3.066, 0.000]],
  "species": ["Sb", "Os", "Rh"],
  "fractional_positions": [[0.500, 0.500, 0.500], [0.750, 0.750, 0.750], [0.000, 0.000, 0.000]]
}

no.,formation energy (no corrections) (eV/f.u.)
1,-0.64
2,0.78